Record 1
LiHoTmGa, relaxed, DFT GGA-PBE; M_tot = 0.00 μB/f.u.; volume = 90.8 Å³ per cell; energy relative to the elements = -0.3124 eV per atom
1.0
0.000 3.568 3.568
3.568 0.000 3.568
3.568 3.568 0.000
Li Ho Tm Ga
1 1 1 1
Cartesian
0.000 0.000 0.000 Li
1.784 1.784 1.784 Ho
5.351 5.351 5.351 Tm
3.568 3.568 3.568 Ga



Record 2
Dy3AgC, relaxed, DFT GGA-PBE; M_tot = 0.01 μB/f.u.; volume = 117.3 Å³ per cell; E above lowest polymorph = 0.071 eV/atom; energy relative to the elements = -0.2008 eV per atom
1.0
4.895 0.000 0.000
0.000 4.895 0.000
0.000 0.000 4.895
Dy Ag C
3 1 1
Cartesian
0.000 0.000 2.447 Dy
0.000 2.447 0.000 Dy
2.447 0.000 0.000 Dy
2.447 2.447 2.447 Ag
0.000 0.000 0.000 C



Record 3
RbGeAu2, relaxed, DFT GGA-PBE; M_tot = 0.00 μB/f.u.; volume = 117.7 Å³ per cell; energy relative to the elements = -0.1778 eV per atom
1.0
2.327 1.344 6.276
-2.327 1.344 6.276
0.000 -2.687 6.276
Rb Ge Au
1 1 2
Cartesian
0.000 0.000 0.000 Rb
0.000 0.000 9.414 Ge
0.000 0.000 3.592 Au
0.000 0.000 15.237 Au



| no. | uncorrected energy (eV for the cell shown) |
| --- | --- |
| 1 | -15.2 |
| 2 | -26.9 |
| 3 | -12.9 |